Compound: VHgGeO6
Source: Alexandria via LeMat-Bulk
Functional: PBE with a Hubbard U
Structure: optimized geometry

a = 5.1053 Å, b = 5.1053 Å, c = 4.7379 Å
α = 90.00°, β = 90.00°, γ = 120.00°
Closest atoms and distances in Å follow each position.
Atoms (fractional coordinates):
V 0.0000 0.0000 0.0000  6 O 1.90
Hg 0.3333 0.6667 0.5000  6 O 2.35
Ge 0.6667 0.3333 0.0000  6 O 1.90
O 0.3323 0.0423 0.7846  1 V 1.90, 1 Ge 1.90
O 0.3323 0.2900 0.2154  1 V 1.90, 1 Ge 1.90
O 0.7100 0.0423 0.2154  1 V 1.90, 1 Ge 1.90
O 0.7100 0.6677 0.7846  1 V 1.90, 1 Ge 1.90
O 0.9577 0.2900 0.7846  1 V 1.90, 1 Ge 1.90
O 0.9577 0.6677 0.2154  1 V 1.90, 1 Ge 1.90

Calculated values
Total energy (eV per atom): -5.8435
Spin magnetization (μB per cell): 0.0
Calculated volume (Å³/f.u.): 107.0
DOS(E_F) (states/eV per atom): 0.7431